(1)
A relaxed YTaMo2 crystal. Source: Alexandria, functional PBE.

CIF file:
```
data_YTaMo2
_chemical_formula_sum 'Y2 Ta2 Mo4'
_cell_length_a 3.286
_cell_length_b 5.032
_cell_length_c 9.174
_cell_angle_alpha 90.00
_cell_angle_beta 90.00
_cell_angle_gamma 90.00
_symmetry_space_group_name_H-M 'I m m m'
_symmetry_Int_Tables_number 71
_symmetry_space_group_name_Hall '-I 2 2'
loop_
_atom_site_label
_atom_site_type_symbol
_atom_site_fract_x
_atom_site_fract_y
_atom_site_fract_z
Y1 Y 0.000 0.000 0.000
Ta1 Ta 0.000 0.000 0.500
Mo1 Mo 0.000 0.500 0.236
```

## Properties
The calculation puts the density of states at the Fermi level at 9.1 states/eV per cell. The crystal system is orthorhombic. For the calculated formation energy, the calculation gives 378 meV per atom. Its distance to the lowest polymorph of the same formula is 0.177 eV/atom.

(2)
A relaxed AcCeHo2As4 crystal. Source: Alexandria, functional PBE.

CIF file:
```
data_AcCeHo2As4
_chemical_formula_sum 'Ac1 Ce1 Ho2 As4'
_cell_length_a 7.347
_cell_length_b 4.250
_cell_length_c 7.370
_cell_angle_alpha 90.00
_cell_angle_beta 109.43
_cell_angle_gamma 90.00
_symmetry_space_group_name_H-M 'P 1 2/m 1'
_symmetry_Int_Tables_number 10
_symmetry_space_group_name_Hall '-P 2y'
loop_
_atom_site_label
_atom_site_type_symbol
_atom_site_fract_x
_atom_site_fract_y
_atom_site_fract_z
Ac1 Ac 0.000 0.000 0.000
Ce1 Ce 0.000 0.500 0.500
Ho1 Ho 0.500 0.000 0.500
Ho2 Ho 0.500 0.500 0.000
As1 As 0.262 0.000 0.746
As2 As 0.268 0.500 0.265
```

## Properties
The calculation puts the density of states at the Fermi level at 6.3 states/eV per cell. The crystal system is monoclinic. For the calculated formation energy, the calculation gives -1455 meV per atom.

(3)
A relaxed Ac4Ho3TmBi8 crystal. Source: Alexandria, functional PBE.

CIF file:
```
data_Ac4Ho3TmBi8
_chemical_formula_sum 'Ac12 Ho9 Tm3 Bi24'
_cell_length_a 9.3468
_cell_length_b 9.3468
_cell_length_c 22.8221
_cell_angle_alpha 90.00
_cell_angle_beta 90.00
_cell_angle_gamma 120.00
_symmetry_space_group_name_H-M 'R -3 m'
_symmetry_Int_Tables_number 166
_symmetry_space_group_name_Hall '-R 3 2"'
loop_
_atom_site_label
_atom_site_type_symbol
_atom_site_fract_x
_atom_site_fract_y
_atom_site_fract_z
Ac1 Ac 0.0000 0.0000 0.0000
Ac2 Ac 0.0000 0.5000 0.0000
Ho1 Ho 0.0000 0.5000 0.5000
Tm1 Tm 0.0000 0.0000 0.5000
Bi1 Bi 0.0000 0.0000 0.2419
Bi2 Bi 0.0010 0.5005 0.2417
```

## Properties
The calculation puts the density of states at the Fermi level at 9.6 states/eV per cell. The crystal system is trigonal. For the calculated formation energy, the calculation gives -895 meV per atom.

(4)
A relaxed ErZrNiOs crystal. Source: Alexandria, functional PBE.

CIF file:
```
data_ErZrNiOs
_chemical_formula_sum 'Er4 Zr4 Ni4 Os4'
_cell_length_a 6.622
_cell_length_b 6.622
_cell_length_c 6.622
_cell_angle_alpha 90.00
_cell_angle_beta 90.00
_cell_angle_gamma 90.00
_symmetry_space_group_name_H-M 'F -4 3 m'
_symmetry_Int_Tables_number 216
_symmetry_space_group_name_Hall 'F -4 2 3'
loop_
_atom_site_label
_atom_site_type_symbol
_atom_site_fract_x
_atom_site_fract_y
_atom_site_fract_z
Er1 Er 0.000 0.000 0.000
Zr1 Zr 0.000 0.000 0.500
Ni1 Ni 0.250 0.250 0.250
Os1 Os 0.250 0.250 0.750
```

## Properties
The calculation puts the density of states at the Fermi level at 8.3 states/eV per cell. The crystal system is cubic. For the calculated formation energy, the calculation gives -394 meV per atom.

(5)
A relaxed MnTlTe2 crystal. Source: Alexandria, functional PBE.

CIF file:
```
data_MnTlTe2
_chemical_formula_sum 'Mn2 Tl2 Te4'
_cell_length_a 3.699
_cell_length_b 3.856
_cell_length_c 16.669
_cell_angle_alpha 90.00
_cell_angle_beta 90.00
_cell_angle_gamma 90.00
_symmetry_space_group_name_H-M 'I m m 2'
_symmetry_Int_Tables_number 44
_symmetry_space_group_name_Hall 'I 2 -2'
loop_
_atom_site_label
_atom_site_type_symbol
_atom_site_fract_x
_atom_site_fract_y
_atom_site_fract_z
Mn1 Mn 0.000 0.000 0.000
Tl1 Tl 0.000 0.500 0.751
Te1 Te 0.000 0.000 0.571
Te2 Te 0.000 0.500 0.378
```

## Properties
The calculation puts the density of states at the Fermi level at 3.3 states/eV per cell. The crystal system is orthorhombic. Its formation energy (no corrections) is -0.085 eV/atom.

(6)
A relaxed CaSmCdGa crystal. Source: Alexandria, functional PBE.

CIF file:
```
data_CaSmCdGa
_chemical_formula_sum 'Ca4 Sm4 Cd4 Ga4'
_cell_length_a 7.478
_cell_length_b 7.478
_cell_length_c 7.478
_cell_angle_alpha 90.00
_cell_angle_beta 90.00
_cell_angle_gamma 90.00
_symmetry_space_group_name_H-M 'F -4 3 m'
_symmetry_Int_Tables_number 216
_symmetry_space_group_name_Hall 'F -4 2 3'
loop_
_atom_site_label
_atom_site_type_symbol
_atom_site_fract_x
_atom_site_fract_y
_atom_site_fract_z
Ca1 Ca 0.000 0.000 0.000
Sm1 Sm 0.000 0.000 0.500
Cd1 Cd 0.250 0.250 0.250
Ga1 Ga 0.250 0.250 0.750
```

## Properties
The calculation puts the density of states at the Fermi level at 7.4 states/eV per cell. The crystal system is cubic. For the calculated formation energy, the calculation gives -437 meV per atom. Its distance to the lowest polymorph of the same formula is 0.000 eV/atom.

(7)
A relaxed LiZn2Ag crystal. Source: Alexandria, functional PBE.

CIF file:
```
data_LiZn2Ag
_chemical_formula_sum 'Li2 Zn4 Ag2'
_cell_length_a 9.078
_cell_length_b 2.740
_cell_length_c 5.046
_cell_angle_alpha 90.00
_cell_angle_beta 96.95
_cell_angle_gamma 90.00
_symmetry_space_group_name_H-M 'C 1 m 1'
_symmetry_Int_Tables_number 8
_symmetry_space_group_name_Hall 'C -2y'
loop_
_atom_site_label
_atom_site_type_symbol
_atom_site_fract_x
_atom_site_fract_y
_atom_site_fract_z
Li1 Li 0.000 0.000 0.000
Zn1 Zn 0.002 0.500 0.510
Zn2 Zn 0.246 0.000 0.745
Ag1 Ag 0.255 0.500 0.239
```

## Properties
The calculation puts the density of states at the Fermi level at 2.3 states/eV per cell. The crystal system is monoclinic. For the calculated formation energy, the calculation gives -125 meV per atom.

(8)
A relaxed GaRuSe3 crystal. Source: Alexandria, functional PBE.

CIF file:
```
data_GaRuSe3
_chemical_formula_sum 'Ga1 Ru1 Se3'
_cell_length_a 4.962
_cell_length_b 4.962
_cell_length_c 4.962
_cell_angle_alpha 90.00
_cell_angle_beta 90.00
_cell_angle_gamma 90.00
_symmetry_space_group_name_H-M 'P m -3 m'
_symmetry_Int_Tables_number 221
_symmetry_space_group_name_Hall '-P 4 2 3'
loop_
_atom_site_label
_atom_site_type_symbol
_atom_site_fract_x
_atom_site_fract_y
_atom_site_fract_z
Ga1 Ga 0.000 0.000 0.000
Ru1 Ru 0.500 0.500 0.500
Se1 Se 0.000 0.500 0.500
```

## Properties
The calculation puts the density of states at the Fermi level at 7.9 states/eV per cell. The crystal system is cubic. Its distance to the lowest polymorph of the same formula is 0.000 eV/atom. Its formation energy (no corrections) is 0.309 eV/atom.

(9)
A relaxed ZrMn4P crystal. Source: Alexandria, functional PBE.

CIF file:
```
data_ZrMn4P
_chemical_formula_sum 'Zr4 Mn16 P4'
_cell_length_a 6.799
_cell_length_b 6.799
_cell_length_c 6.799
_cell_angle_alpha 90.00
_cell_angle_beta 90.00
_cell_angle_gamma 90.00
_symmetry_space_group_name_H-M 'F -4 3 m'
_symmetry_Int_Tables_number 216
_symmetry_space_group_name_Hall 'F -4 2 3'
loop_
_atom_site_label
_atom_site_type_symbol
_atom_site_fract_x
_atom_site_fract_y
_atom_site_fract_z
Zr1 Zr 0.000 0.000 0.000
Mn1 Mn 0.123 0.123 0.377
P1 P 0.250 0.250 0.750
```

## Properties
The calculation puts the density of states at the Fermi level at 28.2 states/eV per cell. The crystal system is cubic. For the calculated formation energy, the calculation gives 43 meV per atom.

(10)
A relaxed Hf2TlV2 crystal. Source: Alexandria, functional PBE.

CIF file:
```
data_Hf2TlV2
_chemical_formula_sum 'Hf4 Tl2 V4'
_cell_length_a 7.123
_cell_length_b 7.123
_cell_length_c 3.766
_cell_angle_alpha 90.00
_cell_angle_beta 90.00
_cell_angle_gamma 90.00
_symmetry_space_group_name_H-M 'P 4/m b m'
_symmetry_Int_Tables_number 127
_symmetry_space_group_name_Hall '-P 4 2ab'
loop_
_atom_site_label
_atom_site_type_symbol
_atom_site_fract_x
_atom_site_fract_y
_atom_site_fract_z
Hf1 Hf 0.175 0.325 0.000
Tl1 Tl 0.000 0.000 0.500
V1 V 0.115 0.615 0.500
```

## Properties
The calculation puts the density of states at the Fermi level at 9.9 states/eV per cell. The crystal system is tetragonal. For the calculated formation energy, the calculation gives 168 meV per atom.

(11)
A relaxed MgHg2Cl crystal. Source: Alexandria, functional PBE.

CIF file:
```
data_MgHg2Cl
_chemical_formula_sum 'Mg3 Hg6 Cl3'
_cell_length_a 3.6924
_cell_length_b 3.6924
_cell_length_c 26.8711
_cell_angle_alpha 90.00
_cell_angle_beta 90.00
_cell_angle_gamma 120.00
_symmetry_space_group_name_H-M 'R 3 m'
_symmetry_Int_Tables_number 160
_symmetry_space_group_name_Hall 'R 3 -2"'
loop_
_atom_site_label
_atom_site_type_symbol
_atom_site_fract_x
_atom_site_fract_y
_atom_site_fract_z
Mg1 Mg 0.0000 0.0000 0.0000
Hg1 Hg 0.0000 0.0000 0.2614
Hg2 Hg 0.0000 0.0000 0.5114
Cl1 Cl 0.0000 0.0000 0.7182
```

## Properties
The calculation puts the density of states at the Fermi level at 1.0 states/eV per cell. The crystal system is trigonal. Its distance to the lowest polymorph of the same formula is 0.000 eV/atom. Its formation energy (no corrections) is -0.605 eV/atom.

(12)
A relaxed ZnCdRh crystal. Source: Alexandria, functional PBE.

CIF file:
```
data_ZnCdRh
_chemical_formula_sum 'Zn1 Cd1 Rh1'
_cell_length_a 4.3437
_cell_length_b 4.3437
_cell_length_c 2.9876
_cell_angle_alpha 90.00
_cell_angle_beta 90.00
_cell_angle_gamma 120.00
_symmetry_space_group_name_H-M 'P 3 m 1'
_symmetry_Int_Tables_number 156
_symmetry_space_group_name_Hall 'P 3 -2"'
loop_
_atom_site_label
_atom_site_type_symbol
_atom_site_fract_x
_atom_site_fract_y
_atom_site_fract_z
Zn1 Zn 0.0000 0.0000 0.0000
Cd1 Cd 0.3333 0.6667 0.3282
Rh1 Rh 0.6667 0.3333 0.7781
```

## Properties
The calculation puts the density of states at the Fermi level at 1.2 states/eV per cell. The crystal system is trigonal. For the calculated formation energy, the calculation gives -131 meV per atom. Its distance to the lowest polymorph of the same formula is 0.071 eV/atom.